1.
Entry from Alexandria: a relaxed Na2CaHgF8 crystal (PBE).

Results
Calculated total energy in eV/atom: -3.92

Cell lengths 4.0329, 5.4686, 7.6497 Å; angles 90.00, 90.00, 94.41 degrees
Closest atoms and distances in Å follow each position.
Sites, in units of the cell vectors:
F (0.4423, 0.2393, 0.0000)  1 Hg 2.13
F (0.9587, 0.2367, 0.2371)  1 Hg 2.24, 1 Ca 2.40, 1 Na 2.43
F (0.5577, 0.7607, 0.0000)  1 Hg 2.13
F (0.9587, 0.2367, 0.7630)  1 Hg 2.24, 1 Ca 2.40, 1 Na 2.43
F (0.0413, 0.7633, 0.2370)  1 Hg 2.24, 1 Ca 2.40, 1 Na 2.43
F (0.4997, 0.2401, 0.5000)  2 Ca 2.32-2.49, 2 Na 2.37
F (0.0413, 0.7633, 0.7629)  1 Hg 2.24, 1 Ca 2.40, 1 Na 2.43
F (0.5003, 0.7599, 0.5000)  2 Ca 2.32-2.49, 2 Na 2.37
Ca (0.0000, 0.0000, 0.5000)  8 F 2.32-2.49
Hg (0.0000, 0.0000, 0.0000)  6 F 2.13-2.24
Na (0.5000, 0.5000, 0.7483)  8 F 2.37-2.52
Na (0.5000, 0.5000, 0.2517)  8 F 2.37-2.52


2.
Entry from Alexandria: a relaxed NaCa2HgF crystal (PBE).

Results
Calculated total energy in eV/atom: -2.76

Cell lengths 5.1423, 5.1423, 4.4522 Å; angles 90.00, 90.00, 90.00 degrees
Closest atoms and distances in Å follow each position.
Sites, in units of the cell vectors:
Na (0.0000, 0.0000, 0.5000)  2 F 2.23
Hg (0.5000, 0.5000, 0.5000)  8 Ca 3.40, 4 Na 3.64
F (0.0000, 0.0000, 0.0000)  2 Na 2.23
Ca (0.0000, 0.5000, 0.0000)  2 F 2.57
Ca (0.5000, 0.0000, 0.0000)  2 F 2.57


3.
Entry from Alexandria: a relaxed NaCaHgF6 crystal (PBE).

Results
Calculated total energy in eV/atom: -4.05

Cell lengths 5.1985, 5.1985, 10.7994 Å; angles 90.00, 90.00, 90.00 degrees
Closest atoms and distances in Å follow each position.
Sites, in units of the cell vectors:
F (0.6988, 0.6988, 0.3298)  1 Hg 2.21, 1 Ca 2.29, 1 Na 2.35
F (0.6878, 0.6878, 0.9971)  1 Hg 2.24, 1 Ca 2.29, 1 Na 2.30
F (0.3079, 0.3079, 0.6731)  1 Hg 2.24, 1 Ca 2.26, 1 Na 2.34
F (0.3122, 0.3122, 0.9971)  1 Hg 2.24, 1 Ca 2.29, 1 Na 2.30
F (0.1921, 0.8079, 0.1731)  1 Hg 2.24, 1 Ca 2.26, 1 Na 2.34
F (0.1878, 0.8122, 0.4971)  1 Hg 2.24, 1 Ca 2.29, 1 Na 2.30
F (0.8079, 0.1921, 0.1731)  1 Hg 2.24, 1 Ca 2.26, 1 Na 2.34
F (0.8012, 0.1988, 0.8298)  1 Hg 2.21, 1 Ca 2.29, 1 Na 2.35
F (0.3012, 0.3012, 0.3298)  1 Hg 2.21, 1 Ca 2.29, 1 Na 2.35
F (0.8122, 0.1878, 0.4971)  1 Hg 2.24, 1 Ca 2.29, 1 Na 2.30
F (0.6921, 0.6921, 0.6731)  1 Hg 2.24, 1 Ca 2.26, 1 Na 2.34
F (0.1988, 0.8012, 0.8298)  1 Hg 2.21, 1 Ca 2.29, 1 Na 2.35
Ca (0.0000, 0.0000, 0.6664)  6 F 2.26-2.29
Ca (0.5000, 0.5000, 0.1664)  6 F 2.26-2.29
Na (0.5000, 0.5000, 0.5003)  6 F 2.30-2.35
Na (0.0000, 0.0000, 0.0003)  6 F 2.30-2.35
Hg (0.0000, 0.0000, 0.3335)  6 F 2.21-2.24
Hg (0.5000, 0.5000, 0.8335)  6 F 2.21-2.24


4.
Entry from Alexandria: a relaxed NaCaHg2F8 crystal (PBE).

Results
Calculated total energy in eV/atom: -3.74

Cell lengths 5.5556, 5.5556, 6.7950 Å; angles 114.13, 114.13, 90.00 degrees
Closest atoms and distances in Å follow each position.
Sites, in units of the cell vectors:
F (0.8723, 0.8745, 0.2545)  1 Ca 2.38, 2 Hg 2.39-2.40, 1 Na 2.44
F (0.6200, 0.1277, 0.7455)  1 Ca 2.38, 2 Hg 2.39-2.40, 1 Na 2.44
F (0.6197, 0.6176, 0.7452)  1 Ca 2.38, 2 Hg 2.39-2.40, 1 Na 2.44
F (0.3822, 0.3800, 0.2545)  1 Ca 2.38, 2 Hg 2.39-2.40, 1 Na 2.44
F (0.3824, 0.8745, 0.2548)  1 Ca 2.38, 2 Hg 2.39-2.40, 1 Na 2.44
F (0.1255, 0.6178, 0.7455)  1 Ca 2.38, 2 Hg 2.39-2.40, 1 Na 2.44
F (0.8724, 0.3803, 0.2548)  1 Ca 2.38, 2 Hg 2.39-2.40, 1 Na 2.44
F (0.1255, 0.1276, 0.7452)  1 Ca 2.38, 2 Hg 2.39-2.40, 1 Na 2.44
Na (0.0000, 0.0000, 0.0000)  8 F 2.44
Hg (0.2500, 0.7500, 0.5000)  8 F 2.40
Hg (0.5000, 0.5000, 0.0000)  8 F 2.39
Ca (0.7500, 0.2500, 0.5000)  8 F 2.38


For each record above, in turn, the calculated E_form (uncorrected) values are -2.26, -1.26, -2.40, -2.16 eV/atom.